# 1
This record from Alexandria via LeMat-Bulk describes PdS8F2 after structural relaxation. The functional is PBE.

Geometry as extended XYZ:
```
11
Lattice="-2.601 0.732 -2.134 -2.438 -12.106 -5.494 -1.036 2.735 7.857" Properties=species:S:1:pos:R:3 pbc="T T T"
S -2.318 0.404 0.192
S -1.204 1.194 4.714
S -3.758 -9.044 0.037
Pd 0.000 0.000 0.000
S -1.810 -6.621 -3.240
F -3.371 -7.560 -2.889
S -4.265 -2.018 3.469
S -2.181 -5.481 1.445
F -2.705 -1.079 3.118
S -3.895 -3.159 -1.216
S -4.871 -9.833 -4.485
```

## Properties
N(E_F)	0.20	states/eV per atom
M_tot	1.12	μB per cell
E_tot	-3.9833	eV/atom
E_form (uncorrected)	-16.3	kJ/mol of atoms
density	2.49	Mg/m³

=====

# 2
This record from Alexandria via LeMat-Bulk describes Pd3SF after structural relaxation. The functional is PBE.

Geometry as extended XYZ:
```
5
Lattice="4.488 0.000 0.000 0.000 4.488 0.000 0.000 0.000 4.488" Properties=species:S:1:pos:R:3 pbc="T T T"
Pd 0.000 0.000 2.244
Pd 0.000 2.244 0.000
S 0.000 0.000 0.000
F 2.244 2.244 2.244
Pd 2.244 0.000 0.000
```

## Properties
N(E_F)	0.73	states/eV per atom
M_tot	0.00	μB per cell
relative energy among the computed polymorphs	0	meV per atom
E_tot	-4.4143	eV/atom
E_form (uncorrected)	-9.5	kJ/mol of atoms
density	6.80	Mg/m³

=====

# 3
This record from Alexandria via LeMat-Bulk describes PdSF3 after structural relaxation. The functional is PBE.

Geometry as extended XYZ:
```
5
Lattice="4.230 0.000 0.000 0.000 4.230 0.000 0.000 0.000 4.230" Properties=species:S:1:pos:R:3 pbc="T T T"
F 2.115 0.000 0.000
Pd 0.000 0.000 0.000
F 0.000 0.000 2.115
F 0.000 2.115 0.000
S 2.115 2.115 2.115
```

## Properties
N(E_F)	0.46	states/eV per atom
M_tot	2.60	μB per cell
relative energy among the computed polymorphs	0	meV per atom
E_tot	-3.4297	eV/atom
E_form (uncorrected)	-42.7	kJ/mol of atoms
density	4.29	Mg/m³

=====

# 4
This record from Alexandria via LeMat-Bulk describes PdS3F after structural relaxation. The functional is PBE.

Geometry as extended XYZ:
```
5
Lattice="-1.880 2.806 3.180 -1.602 -3.691 2.309 3.927 -0.163 2.465" Properties=species:S:1:pos:R:3 pbc="T T T"
S 1.963 -0.081 1.232
S -0.940 1.403 1.590
F 0.222 -0.524 3.977
S -0.801 -1.845 1.155
Pd 0.000 0.000 0.000
```

## Properties
N(E_F)	1.78	states/eV per atom
M_tot	0.00	μB per cell
relative energy among the computed polymorphs	0	meV per atom
E_tot	-3.1900	eV/atom
E_form (uncorrected)	67.5	kJ/mol of atoms
density	3.69	Mg/m³

=====

# 5
This record from Alexandria via LeMat-Bulk describes PdS2F after structural relaxation. The functional is PBE.

Geometry as extended XYZ:
```
4
Lattice="-3.730 0.345 1.983 -1.120 3.679 1.783 -3.103 2.327 -1.711" Properties=species:S:1:pos:R:3 pbc="T T T"
S -5.965 4.763 1.542
Pd -3.977 3.175 1.028
S -1.988 1.588 0.514
F 0.000 0.000 0.000
```

## Properties
N(E_F)	0.45	states/eV per atom
M_tot	0.00	μB per cell
relative energy among the computed polymorphs	309	meV per atom
E_tot	-3.8721	eV/atom
E_form (uncorrected)	-4.1	kJ/mol of atoms
density	5.84	Mg/m³

=====

# 6
This record from Alexandria via LeMat-Bulk describes PdS2F after structural relaxation. The functional is PBE.

Geometry as extended XYZ:
```
4
Lattice="2.090 0.000 6.545 -1.045 1.810 6.545 -1.045 -1.810 6.545" Properties=species:S:1:pos:R:3 pbc="T T T"
S 0.000 0.000 17.555
S 0.000 0.000 2.079
Pd 0.000 0.000 9.817
F 0.000 0.000 0.000
```

## Properties
N(E_F)	0.31	states/eV per atom
M_tot	0.00	μB per cell
relative energy among the computed polymorphs	0	meV per atom
E_tot	-4.1812	eV/atom
E_form (uncorrected)	-33.9	kJ/mol of atoms
density	4.24	Mg/m³

=====

# 7
This record from Alexandria via LeMat-Bulk describes PdS4F2 after structural relaxation. The functional is PBE.

Geometry as extended XYZ:
```
14
Lattice="11.304 -1.291 6.364 2.705 5.171 2.741 4.000 0.479 8.127" Properties=species:S:1:pos:R:3 pbc="T T T"
S 10.341 2.221 9.246
F 11.449 2.009 10.496
S 4.236 4.685 3.970
F 7.414 2.818 10.531
S 8.655 4.573 7.059
F 6.153 3.049 6.875
S 11.280 1.569 7.662
S 3.611 2.861 4.009
Pd 9.229 2.296 6.680
S 7.451 3.552 5.901
Pd 10.726 -0.797 7.469
F 13.133 4.205 12.253
S 14.343 -0.196 13.334
S 8.726 0.063 6.153
```

## Properties
M_tot	0.00	μB per cell
E_tot	-4.1681	eV/atom
E_form (uncorrected)	-51.4	kJ/mol of atoms
density	2.58	Mg/m³

=====

# 8
This record from Alexandria via LeMat-Bulk describes PdS2F after structural relaxation. The functional is PBE.

Geometry as extended XYZ:
```
4
Lattice="1.578 0.000 8.565 -0.789 1.366 8.565 -0.789 -1.366 8.565" Properties=species:S:1:pos:R:3 pbc="T T T"
F 0.000 0.000 12.848
S 0.000 0.000 23.374
S 0.000 0.000 2.322
Pd 0.000 0.000 0.000
```

## Properties
N(E_F)	0.95	states/eV per atom
M_tot	0.00	μB per cell
relative energy among the computed polymorphs	543	meV per atom
E_tot	-3.6378	eV/atom
E_form (uncorrected)	18.5	kJ/mol of atoms
density	5.68	Mg/m³

=====

# 9
This record from Alexandria via LeMat-Bulk describes PdSF2 after structural relaxation. The functional is PBE.

Geometry as extended XYZ:
```
8
Lattice="3.600 0.000 0.000 0.000 3.600 0.000 1.800 1.800 7.856" Properties=species:S:1:pos:R:3 pbc="T T T"
F 4.500 4.474 5.892
F 2.700 2.727 5.892
F 2.674 0.900 1.964
S 1.800 1.800 0.000
Pd 0.000 0.000 0.000
S 1.800 3.600 3.928
F 0.926 2.700 1.964
Pd 3.600 1.800 3.928
```

## Properties
N(E_F)	0.58	states/eV per atom
M_tot	0.00	μB per cell
relative energy among the computed polymorphs	54	meV per atom
E_tot	-3.6545	eV/atom
E_form (uncorrected)	-37.5	kJ/mol of atoms
density	5.76	Mg/m³

=====

# 10
This record from Alexandria via LeMat-Bulk describes PdSF3 after structural relaxation. The functional is PBE.

Geometry as extended XYZ:
```
5
Lattice="-2.593 2.343 2.335 -2.958 -2.971 -0.304 1.481 -1.831 3.482" Properties=species:S:1:pos:R:3 pbc="T T T"
F -1.479 -1.485 -0.152
Pd -2.035 -1.230 2.756
F 0.740 -0.916 1.741
S 0.000 0.000 0.000
F -1.297 1.171 1.168
```

## Properties
N(E_F)	1.91	states/eV per atom
M_tot	0.74	μB per cell
relative energy among the computed polymorphs	236	meV per atom
E_tot	-3.1941	eV/atom
E_form (uncorrected)	-20.0	kJ/mol of atoms
density	4.37	Mg/m³

=====

# 11
This record from Alexandria via LeMat-Bulk describes PdS3F after structural relaxation. The functional is PBE.

Geometry as extended XYZ:
```
5
Lattice="4.364 0.000 0.000 0.000 4.364 0.000 0.000 0.000 4.364" Properties=species:S:1:pos:R:3 pbc="T T T"
S 0.000 2.182 0.000
S 0.000 0.000 2.182
Pd 2.182 2.182 2.182
S 2.182 0.000 0.000
F 0.000 0.000 0.000
```

## Properties
N(E_F)	1.53	states/eV per atom
M_tot	1.68	μB per cell
relative energy among the computed polymorphs	328	meV per atom
E_tot	-2.8618	eV/atom
E_form (uncorrected)	99.1	kJ/mol of atoms
density	4.43	Mg/m³

=====

# 12
This record from Alexandria via LeMat-Bulk describes PdS2F after structural relaxation. The functional is PBE.

Geometry as extended XYZ:
```
8
Lattice="6.191 0.000 0.000 0.000 6.191 0.000 3.096 3.096 3.905" Properties=species:S:1:pos:R:3 pbc="T T T"
F 3.096 6.191 1.953
S 4.644 4.438 2.929
F 3.096 3.096 0.000
S 4.849 1.548 0.976
S 1.342 4.644 0.976
S 7.739 7.945 2.929
Pd 6.191 3.096 1.953
Pd 0.000 0.000 0.000
```

## Properties
N(E_F)	1.50	states/eV per atom
M_tot	0.00	μB per cell
relative energy among the computed polymorphs	401	meV per atom
E_tot	-3.7798	eV/atom
E_form (uncorrected)	4.8	kJ/mol of atoms
density	4.21	Mg/m³

=====

# 13
This record from Alexandria via LeMat-Bulk describes PdS4F after structural relaxation. The functional is PBE.

Geometry as extended XYZ:
```
12
Lattice="8.521 -0.524 3.038 -0.509 5.367 1.566 2.466 -0.391 6.805" Properties=species:S:1:pos:R:3 pbc="T T T"
S 8.212 2.981 9.218
S 5.794 4.359 6.433
S 2.266 1.471 2.190
S 3.718 1.377 7.305
S 1.744 3.282 3.859
Pd 1.233 -0.196 3.402
F 2.219 4.237 2.488
F 8.259 0.215 8.921
Pd 5.239 2.226 5.704
S 4.684 0.093 4.975
S 8.734 1.170 7.549
S 6.760 3.075 4.103
```

## Properties
N(E_F)	0.20	states/eV per atom
M_tot	0.00	μB per cell
E_tot	-4.1549	eV/atom
E_form (uncorrected)	-21.8	kJ/mol of atoms
density	3.09	Mg/m³

=====

Values for calculated volume, Å³/cell, ordered as above
268 90 76 100 54 74 351 55 102 74 83 150 273